# BeIr4Pb (PBE, relaxed)
# DOS(E_F)	39.56	states/eV per cell
# M_tot	0.00	μB per formula unit
# calculated formation energy	0.601	eV/atom
data_BeIr4Pb
_cell_length_a 7.455
_cell_length_b 7.455
_cell_length_c 7.455
_cell_angle_alpha 90.00
_cell_angle_beta 90.00
_cell_angle_gamma 90.00
_symmetry_space_group_name_H-M 'F -4 3 m'
_symmetry_Int_Tables_number 216
_symmetry_space_group_name_Hall 'F -4 2 3'
loop_
_atom_site_label
_atom_site_fract_x
_atom_site_fract_y
_atom_site_fract_z
_atom_site_occupancy
Be1 0.000 0.000 0.000 1
Ir1 0.125 0.125 0.625 1
Pb1 0.250 0.250 0.250 1


# Be3IrPb (PBE, relaxed)
# DOS(E_F)	4.88	states/eV per cell
# energy relative to the lowest polymorph listed for this composition	7.672	eV per formula unit
# M_tot	0.00	μB per formula unit
# calculated formation energy	1.756	eV/atom
data_Be3IrPb
_cell_length_a 4.455
_cell_length_b 4.455
_cell_length_c 4.455
_cell_angle_alpha 90.00
_cell_angle_beta 90.00
_cell_angle_gamma 90.00
_symmetry_space_group_name_H-M 'P m -3 m'
_symmetry_Int_Tables_number 221
_symmetry_space_group_name_Hall '-P 4 2 3'
loop_
_atom_site_label
_atom_site_fract_x
_atom_site_fract_y
_atom_site_fract_z
_atom_site_occupancy
Be1 0.000 0.000 0.500 1
Ir1 0.500 0.500 0.500 1
Pb1 0.000 0.000 0.000 1


# Be3IrPb (PBE, relaxed)
# DOS(E_F)	2.01	states/eV per cell
# energy relative to the lowest polymorph listed for this composition	0.000	eV per formula unit
# M_tot	0.00	μB per formula unit
# calculated formation energy	0.221	eV/atom
data_Be3IrPb
_cell_length_a 4.365
_cell_length_b 4.365
_cell_length_c 4.365
_cell_angle_alpha 90.00
_cell_angle_beta 90.00
_cell_angle_gamma 90.00
_symmetry_space_group_name_H-M 'P m -3 m'
_symmetry_Int_Tables_number 221
_symmetry_space_group_name_Hall '-P 4 2 3'
loop_
_atom_site_label
_atom_site_fract_x
_atom_site_fract_y
_atom_site_fract_z
_atom_site_occupancy
Be1 0.000 0.000 0.500 1
Ir1 0.000 0.000 0.000 1
Pb1 0.500 0.500 0.500 1